GGA-PBE YSiTe2N, optimized geometry; mass density = 5830 kg/m3; relative energy among the computed polymorphs = 0 meV per atom; electronic total energy = -5.544 eV/atom; raw formation energy = -0.245 eV per atom
1.0
5.710 0.000 0.000
0.000 5.710 0.000
0.000 0.000 3.374
Te Si N Y
2 1 1 1
Cartesian
0.000 2.855 0.000
2.855 0.000 0.000
0.000 0.000 0.000
0.000 0.000 1.687
2.855 2.855 1.687

GGA-PBE CuTc2Mo, optimized geometry; mass density = 10277 kg/m3; energy of formation = 95 kJ/mol of formula units; relative energy among the computed polymorphs = 98 meV per atom; electronic total energy = -8.669 eV/atom
1.0
3.209 0.000 0.000
0.000 3.209 0.000
0.000 0.000 5.577
Cu Tc Mo
1 2 1
Cartesian
0.000 0.000 2.772
0.000 0.000 5.572
1.605 1.605 1.514
1.605 1.605 4.083

GGA-PBE LaTcHg, optimized geometry; mass density = 9800 kg/m3; energy of formation = 77 kJ/mol of formula units; relative energy among the computed polymorphs = 10 meV per atom; electronic total energy = -4.932 eV/atom
1.0
4.676 0.000 0.000
-2.338 4.050 0.000
0.000 0.000 3.914
Hg Tc La
1 1 1
Cartesian
0.000 0.000 3.262
0.000 2.700 3.263
2.338 1.350 1.304

GGA-PBE Ag2Pd3Se6, optimized geometry; mass density = 6984 kg/m3; electronic total energy = -4.025 eV/atom; raw formation energy = -0.190 eV per atom
1.0
6.283 0.000 1.808
3.142 5.642 0.904
0.182 0.000 6.818
Pd Se Ag
3 6 2
Cartesian
3.142 1.846 0.904
6.283 3.796 1.808
0.000 0.000 0.000
4.928 1.953 2.869
4.797 0.000 6.744
4.679 3.689 6.660
1.668 0.000 1.882
1.537 1.953 5.756
8.069 3.689 3.773
3.232 3.733 4.313
6.374 1.910 5.216

GGA-PBE Na3AuO, optimized geometry; mass density = 4751 kg/m3; relative energy among the computed polymorphs = 0 meV per atom; electronic total energy = -3.277 eV/atom; raw formation energy = -0.838 eV per atom
1.0
4.619 0.000 0.000
0.000 4.619 0.000
0.000 0.000 4.619
Na O Au
3 1 1
Cartesian
2.309 0.000 0.000
0.000 2.309 0.000
0.000 0.000 2.309
0.000 0.000 0.000
2.309 2.309 2.309

GGA-PBE KZrTaRe2, optimized geometry; mass density = 8942 kg/m3; energy of formation = 835 kJ/mol of formula units; electronic total energy = -7.548 eV/atom
1.0
4.922 0.000 0.000
0.000 5.240 0.000
0.000 0.000 4.922
Ta K Re Zr
1 1 2 1
Cartesian
0.000 0.000 0.000
2.461 2.620 2.461
2.461 0.000 0.000
0.000 0.000 2.461
0.000 2.620 0.000

GGA-PBE Pr6SnI8, optimized geometry; mass density = 5314 kg/m3; electronic total energy = -4.149 eV/atom; raw formation energy = -1.143 eV per atom
1.0
0.291 4.456 6.416
-4.488 -1.725 6.163
7.110 -5.846 8.499
Pr I Sn
6 8 1
Cartesian
-1.477 2.234 11.302
4.389 -5.350 9.776
0.095 1.472 6.999
2.817 -4.587 14.080
6.000 -1.753 12.234
-3.089 -1.362 8.845
3.034 -1.291 13.437
-0.122 -1.824 7.642
4.455 -2.156 9.272
-1.543 -0.960 11.806
-2.798 1.820 8.386
1.528 1.687 9.890
1.384 -4.803 11.188
5.710 -4.936 12.692
0.000 0.000 0.000

GGA-PBE ThPa2GeN5, optimized geometry; mass density = 10538 kg/m3; electronic total energy = -9.048 eV/atom; raw formation energy = -0.975 eV per atom
1.0
3.324 0.000 0.000
-1.662 8.479 0.000
0.000 0.000 9.358
N Pa Ge Th
10 4 2 2
Cartesian
0.000 5.942 3.296
0.000 6.276 0.092
0.000 5.317 6.427
1.662 0.105 2.661
1.662 7.810 5.191
0.000 8.374 7.340
1.662 3.162 1.748
1.662 2.203 4.771
1.662 2.537 7.975
0.000 0.669 0.512
1.662 6.640 7.548
0.000 1.536 6.312
0.000 1.839 2.869
1.662 6.943 1.633
0.000 7.597 4.271
1.662 0.882 8.950
0.000 3.800 9.345
1.662 4.679 4.666

GGA-PBE Na2AgPbCl5, optimized geometry; mass density = 3367 kg/m3; electronic total energy = -3.300 eV/atom; raw formation energy = -1.252 eV per atom
1.0
4.153 0.000 0.000
-2.076 8.987 0.000
0.000 0.000 14.229
Pb Cl Ag Na
2 10 2 4
Cartesian
2.076 4.728 7.356
0.000 4.259 0.241
2.076 3.943 2.314
0.000 1.187 0.583
2.076 0.345 3.977
0.000 8.641 11.092
2.076 4.615 12.538
0.000 4.371 5.423
0.000 5.044 9.429
2.076 7.800 7.698
2.076 2.023 8.080
0.000 6.963 0.965
2.076 0.174 13.576
0.000 8.813 6.462
0.000 2.366 3.515
2.076 7.932 2.473
2.076 6.621 10.630
0.000 1.055 9.587

GGA-PBE RbHfAgTe4, optimized geometry; mass density = 6307 kg/m3; electronic total energy = -4.276 eV/atom; raw formation energy = -0.513 eV per atom
1.0
7.539 0.000 -0.471
0.000 6.176 0.000
-3.570 0.000 10.202
Te Hf Rb Ag
8 2 2 2
Cartesian
6.159 3.003 2.886
0.908 1.544 8.392
-2.190 3.172 6.845
6.159 0.085 2.886
2.641 1.544 4.042
1.328 4.632 5.689
3.061 4.632 1.340
-2.190 6.091 6.845
3.842 4.632 4.117
0.127 1.544 5.614
1.506 1.544 0.369
2.463 4.632 9.363
3.064 1.544 6.830
0.905 4.632 2.902

GGA-PBE YAlZn, optimized geometry; mass density = 4792 kg/m3; energy of formation = -80 kJ/mol of formula units; electronic total energy = -4.104 eV/atom
1.0
-4.319 1.200 4.300
-0.098 -4.386 1.126
6.417 1.410 6.052
Al Y Zn
4 4 4
Cartesian
3.091 -1.224 9.164
-1.043 0.534 6.546
3.043 -2.310 4.932
-1.091 -0.551 2.314
1.126 -0.105 4.246
5.096 -1.817 7.027
0.874 -1.671 7.232
-3.096 0.042 4.450
0.474 1.070 8.764
2.996 0.549 6.956
1.525 -2.845 2.714
-0.996 -2.325 4.522

GGA-PBE Tm3Ga2Ni, optimized geometry; mass density = 8900 kg/m3; energy of formation = -325 kJ/mol of formula units; electronic total energy = -4.769 eV/atom
1.0
4.261 0.000 0.000
0.000 10.806 0.000
0.000 0.000 11.427
Ga Tm Ni
8 12 4
Cartesian
1.065 10.721 3.521
3.196 0.085 7.906
1.065 8.781 11.220
3.196 5.318 2.193
3.196 2.024 0.206
1.065 5.488 9.234
3.196 3.378 5.920
1.065 7.427 5.507
1.065 1.411 6.286
3.196 6.102 7.078
3.196 6.814 10.854
3.196 9.395 5.141
1.065 8.722 8.271
1.065 7.487 2.558
3.196 10.107 1.365
1.065 4.704 4.349
3.196 2.084 3.156
3.196 3.319 8.869
1.065 3.992 0.572
1.065 0.699 10.062
1.065 4.111 7.122
3.196 6.695 4.305
1.065 1.292 1.408
3.196 9.514 10.019

GGA-PBE TlAg2Bi, optimized geometry; mass density = 10722 kg/m3; energy of formation = 51 kJ/mol of formula units; electronic total energy = -2.856 eV/atom
1.0
3.527 0.000 0.000
0.000 3.527 0.000
0.000 0.000 7.832
Ag Tl Bi
2 1 1
Cartesian
0.000 0.000 5.869
0.000 0.000 1.963
1.764 1.764 0.000
1.764 1.764 3.916

GGA-PBE Tb6ZnPt, optimized geometry; mass density = 9245 kg/m3; energy of formation = -277 kJ/mol of formula units; electronic total energy = -4.747 eV/atom
1.0
4.827 0.000 1.453
-0.438 4.807 1.454
-0.165 -0.181 9.288
Tb Pt Zn
6 1 1
Cartesian
4.134 1.884 3.757
0.090 2.743 8.439
2.724 0.339 8.438
1.029 1.126 5.329
3.196 3.501 6.866
1.501 4.287 3.757
0.000 0.000 0.000
2.195 2.404 1.454

GGA-PBE TcMo, optimized geometry; mass density = 10528 kg/m3; energy of formation = 34 kJ/mol of formula units; relative energy among the computed polymorphs = 100 meV per atom; electronic total energy = -10.423 eV/atom
1.0
-1.591 0.369 2.269
1.042 -2.344 1.112
2.868 2.070 1.674
Mo Tc
1 1
Cartesian
0.000 0.000 0.000
1.160 0.047 2.528

GGA-PBE MoC2, optimized geometry; mass density = 7233 kg/m3; energy of formation = 162 kJ/mol of formula units; relative energy among the computed polymorphs = 39 meV per atom; electronic total energy = -9.202 eV/atom
1.0
-3.020 -4.250 1.839
-1.044 -5.419 0.331
2.041 -0.561 3.109
C Mo
4 2
Cartesian
-1.913 -7.745 3.497
-0.110 -2.485 1.782
-0.600 -5.174 3.225
-1.424 -5.055 2.054
-3.468 -8.523 2.063
1.444 -1.707 3.216

GGA-PBE Pm3SmY6Ho2, optimized geometry; mass density = 6152 kg/m3; energy of formation = 19 kJ/mol of formula units; electronic total energy = -5.559 eV/atom
1.0
6.217 0.001 0.007
-3.106 5.386 0.007
-1.044 -1.808 11.671
Sm Ho Pm Y
1 2 3 6
Cartesian
0.000 0.000 0.000
3.110 1.796 0.007
0.001 3.591 0.007
-2.073 3.583 5.842
4.140 -0.004 5.842
1.033 1.789 5.842
3.105 1.784 8.788
2.072 3.587 2.903
-0.006 3.581 8.788
2.073 -0.002 2.897
-0.005 -0.008 8.782
-1.038 1.795 2.897

GGA-PBE Rb6GeI8, optimized geometry; mass density = 3640 kg/m3; electronic total energy = -2.753 eV/atom; raw formation energy = -1.231 eV per atom
1.0
-4.050 8.252 -2.388
-6.388 -1.373 -6.892
-8.793 0.471 3.557
I Ge Rb
8 1 6
Cartesian
-10.749 7.600 -0.755
-13.025 0.740 -1.920
-6.630 2.534 -1.973
-8.481 -0.250 -4.969
-9.948 4.550 -7.362
-6.205 6.611 -3.803
-12.600 4.816 -3.750
-9.282 2.800 1.639
0.000 0.000 0.000
-6.907 3.034 -5.752
-12.323 4.316 0.029
-9.793 7.207 -4.756
-11.813 1.445 -5.371
-7.417 5.905 -0.353
-9.437 0.143 -0.967

GGA-PBE Sr3Cl, optimized geometry; mass density = 2655 kg/m3; relative energy among the computed polymorphs = 417 meV per atom; electronic total energy = -2.132 eV/atom; raw formation energy = -0.409 eV per atom
1.0
7.810 0.009 0.000
4.336 6.496 0.000
-6.073 -3.252 3.680
Cl Sr
1 3
Cartesian
0.000 0.000 0.000
6.073 3.252 0.000
3.905 0.004 1.840
2.168 3.248 1.840

GGA-PBE MgAlGa3, optimized geometry; mass density = 3314 kg/m3; energy of formation = 289 kJ/mol of formula units; relative energy among the computed polymorphs = 627 meV per atom; electronic total energy = -2.284 eV/atom
1.0
5.072 0.000 0.000
0.000 5.072 0.000
0.000 0.000 5.072
Ga Al Mg
3 1 1
Cartesian
2.536 0.000 0.000
0.000 0.000 2.536
0.000 2.536 0.000
2.536 2.536 2.536
0.000 0.000 0.000